No. 1
Below is Cs2LaPbF6 after structural relaxation, with properties calculated at the PBE level.

abc: 7.053 7.053 7.053
angles: 117.95 117.95 93.58
Sites, in units of the cell vectors:
Cs: 0.250 0.750 0.500
Cs: 0.750 0.250 0.500
La: 0.000 0.000 0.000
Pb: 0.500 0.500 0.000
F: 0.226 0.226 0.451
F: 0.226 0.774 0.000
F: 0.243 0.243 0.000
F: 0.757 0.757 0.000
F: 0.774 0.226 0.000
F: 0.774 0.774 0.549

raw formation energy: -2.90 eV/atom
space group: I4/mmm, No. 139
density of states at the Fermi level: 6.96 states/eV/f.u.
spin magnetization: 1.00 μB/f.u.

No. 2
Below is Cs2LaPb3F12 after structural relaxation, with properties calculated at the PBE level.

abc: 8.870 8.870 8.870
angles: 58.15 58.15 58.15
Sites, in units of the cell vectors:
Cs: 0.095 0.095 0.095
Cs: 0.905 0.905 0.905
La: 0.500 0.500 0.500
Pb: 0.000 0.500 0.500
Pb: 0.500 0.000 0.500
Pb: 0.500 0.500 0.000
F: 0.168 0.168 0.592
F: 0.168 0.592 0.168
F: 0.184 0.567 0.567
F: 0.408 0.832 0.832
F: 0.433 0.433 0.816
F: 0.433 0.816 0.433
F: 0.567 0.184 0.567
F: 0.567 0.567 0.184
F: 0.592 0.168 0.168
F: 0.816 0.433 0.433
F: 0.832 0.408 0.832
F: 0.832 0.832 0.408

raw formation energy: -2.75 eV/atom
space group: R-3m, No. 166
density of states at the Fermi level: 8.55 states/eV/f.u.
spin magnetization: 0.00 μB/f.u.

Number 1: E_tot -50.54 eV for the cell shown. Number 2: E_tot -89.64 eV for the cell shown.